VASP calculation (GGA-PBE) on crystalline CaCd4Cu at its relaxed geometry.

Cell: 5.8070 5.8070 5.8070 Å, 60.00 60.00 60.00°
Closest atoms and distances in Å follow each position.
Fractional positions:
Ca 0.0000 0.0000 0.0000  12 Cd 3.41, 4 Cu 3.56
Cd 0.1263 0.6246 0.6246  6 Cd 2.89-2.91
Cd 0.6246 0.1263 0.6246  6 Cd 2.89-2.91
Cd 0.6246 0.6246 0.1263  6 Cd 2.89-2.91
Cd 0.6246 0.6246 0.6246  6 Cd 2.89-2.91
Cu 0.2500 0.2500 0.2500  12 Cd 3.40, 4 Ca 3.56

Properties
N(E_F) = 0.57 states/eV/atom
Space-group type = F-43m (216)
Calculated volume = 23.08 Å³ per atom
Uncorrected energy = -1.60 eV per atom
Energy relative to the lowest polymorph listed for this composition = 198.4 meV per atom

---

VASP calculation (GGA-PBE) on crystalline Ca4CdCu at its relaxed geometry.

Cell: 8.3775 8.3775 6.1875 Å, 101.65 101.65 112.02°
Closest atoms and distances in Å follow each position.
Fractional positions:
Ca 0.0615 0.7128 0.9374  2 Cu 3.03-3.04, 1 Cd 3.33
Ca 0.2160 0.3682 0.6499  2 Cu 3.13-3.20, 1 Cd 3.34
Ca 0.2872 0.9385 0.5626  2 Cu 3.03-3.04, 1 Cd 3.33
Ca 0.3682 0.2160 0.1499  2 Cu 3.13-3.20, 1 Cd 3.34
Ca 0.6318 0.7840 0.8501  2 Cu 3.13-3.20, 1 Cd 3.34
Ca 0.7128 0.0615 0.4374  2 Cu 3.03-3.04, 1 Cd 3.33
Ca 0.7840 0.6318 0.3501  2 Cu 3.13-3.20, 1 Cd 3.34
Ca 0.9385 0.2872 0.0626  2 Cu 3.03-3.04, 1 Cd 3.33
Cd 0.3745 0.6255 0.2500  10 Ca 3.33-3.72
Cd 0.6255 0.3745 0.7500  10 Ca 3.33-3.72
Cu 0.9997 0.0003 0.2500  8 Ca 3.03-3.20, 2 Cu 3.09
Cu 0.0003 0.9997 0.7500  8 Ca 3.03-3.20, 2 Cu 3.09

Properties
N(E_F) = 0.82 states/eV/atom
Space-group type = C2/c (15)
Calculated volume = 31.28 Å³ per atom
Uncorrected energy = -2.31 eV per atom
Energy relative to the lowest polymorph listed for this composition = 2.3 meV per atom

---

VASP calculation (GGA-PBE) on crystalline CaCdCu2 at its relaxed geometry.

Cell: 4.7682 4.7682 4.7682 Å, 60.00 60.00 60.00°
Closest atoms and distances in Å follow each position.
Fractional positions:
Ca 0.0000 0.0000 0.0000  4 Cd 2.92, 4 Cu 2.92
Cd 0.7500 0.7500 0.7500  4 Ca 2.92, 4 Cu 2.92
Cu 0.2500 0.2500 0.2500  4 Cu 2.92, 4 Ca 2.92
Cu 0.5000 0.5000 0.5000  4 Cd 2.92, 4 Cu 2.92

Properties
N(E_F) = 0.38 states/eV/atom
Space-group type = F-43m (216)
Calculated volume = 19.16 Å³ per atom
Uncorrected energy = -2.73 eV per atom

---

VASP calculation (GGA-PBE) on crystalline CaCd3Cu at its relaxed geometry.

Cell: 5.0180 5.0180 5.0180 Å, 90.00 90.00 90.00°
Closest atoms and distances in Å follow each position.
Fractional positions:
Ca 0.0000 0.0000 0.0000  12 Cd 3.55
Cd 0.0000 0.5000 0.5000  2 Cu 2.51
Cd 0.5000 0.0000 0.5000  2 Cu 2.51
Cd 0.5000 0.5000 0.0000  2 Cu 2.51
Cu 0.5000 0.5000 0.5000  6 Cd 2.51

Properties
N(E_F) = 0.38 states/eV/atom
Space-group type = Pm-3m (221)
Calculated volume = 25.27 Å³ per atom
Uncorrected energy = -1.82 eV per atom
Energy relative to the lowest polymorph listed for this composition = 99.2 meV per atom

---

Q: Which formula does entry 2 have?
A: Ca4CdCu